# Sr2MgRh

A relaxed Sr2MgRh crystal (PBEsol, Alexandria).

Values from the calculation:
- DFT formation energy: 0.48 eV per formula unit
- ρ: 5.02 g cm⁻³

Lattice parameters (Å, degrees): 7.3702 7.3702 7.3702 90.00 90.00 90.00
Closest atoms and distances in Å follow each position.
Space group F-43m (No. 216)
Inequivalent atoms, fractional coordinates:
Sr1 0.0000 0.0000 0.0000 x4  4 Sr 3.19, 4 Mg 3.19
Sr2 0.2500 0.2500 0.2500 x4  4 Rh 3.19, 4 Sr 3.19
Mg1 0.2500 0.2500 0.7500 x4  4 Sr 3.19, 4 Rh 3.19
Rh1 0.0000 0.0000 0.5000 x4  4 Mg 3.19, 4 Sr 3.19